[1]
Density functional theory data (PBE-GGA) for a geometry-optimized TbEr2Ru3 structure.

Its energy of formation from the pure elements is -346 meV per atom. The excess energy over the best structure of this formula in the dataset is 6 meV per atom.

Cell lengths 4.781, 4.781, 5.870 Å; angles 90.00, 90.00, 120.00 degrees
Positions (direct):
1 Tb 0.000 0.000 0.000
2 Er 0.333 0.667 0.665
3 Er 0.667 0.333 0.335
4 Ru 0.667 0.333 0.832
5 Ru 0.000 0.000 0.500
6 Ru 0.333 0.667 0.168



[2]
Density functional theory data (PBE-GGA) for a geometry-optimized TbEr5Ru4 structure.

Its energy of formation from the pure elements is -338 meV per atom.

Cell lengths 3.384, 3.384, 18.952 Å; angles 90.00, 90.00, 90.00 degrees
Positions (direct):
1 Ru 0.000 0.000 0.411
2 Ru 0.000 0.000 0.589
3 Ru 0.000 0.000 0.229
4 Ru 0.000 0.000 0.771
5 Er 0.500 0.500 0.677
6 Er 0.500 0.500 0.147
7 Er 0.500 0.500 0.323
8 Er 0.500 0.500 0.500
9 Er 0.500 0.500 0.853
10 Tb 0.000 0.000 0.000



[3]
Density functional theory data (PBE-GGA) for a geometry-optimized TbEr2Ru structure.

Its energy of formation from the pure elements is -324 meV per atom. The excess energy over the best structure of this formula in the dataset is 18 meV per atom.

Cell lengths 3.891, 6.250, 9.037 Å; angles 90.00, 90.00, 108.13 degrees
Positions (direct):
1 Ru 0.243 0.486 0.750
2 Ru 0.757 0.514 0.250
3 Tb 0.425 0.851 0.250
4 Tb 0.575 0.149 0.750
5 Er 0.144 0.288 0.067
6 Er 0.856 0.712 0.567
7 Er 0.144 0.288 0.433
8 Er 0.856 0.712 0.933



[4]
Density functional theory data (PBE-GGA) for a geometry-optimized TbEr2Ru2 structure.

Its energy of formation from the pure elements is -335 meV per atom. The excess energy over the best structure of this formula in the dataset is 0 meV per atom.

Cell lengths 3.366, 3.392, 10.264 Å; angles 80.49, 90.00, 90.00 degrees
Positions (direct):
1 Er 0.000 0.834 0.332
2 Er 0.000 0.166 0.668
3 Ru 0.500 0.590 0.820
4 Ru 0.500 0.410 0.180
5 Tb 0.000 0.000 0.000



[5]
Density functional theory data (PBE-GGA) for a geometry-optimized TbEr2Ru structure.

Its energy of formation from the pure elements is 86 meV per atom. The excess energy over the best structure of this formula in the dataset is 428 meV per atom.

Cell lengths 3.467, 3.467, 10.860 Å; angles 80.81, 80.81, 60.00 degrees
Positions (direct):
1 Ru 0.500 0.500 0.500
2 Er 0.893 0.893 0.322
3 Er 0.107 0.107 0.678
4 Tb 0.000 0.000 0.000



[6]
Density functional theory data (PBE-GGA) for a geometry-optimized Tb4ErRu5 structure.

Its energy of formation from the pure elements is -307 meV per atom.

Cell lengths 3.407, 3.407, 16.990 Å; angles 90.00, 90.00, 90.00 degrees
Positions (direct):
1 Er 0.000 0.000 0.000
2 Ru 0.500 0.500 0.098
3 Ru 0.500 0.500 0.299
4 Ru 0.500 0.500 0.701
5 Ru 0.500 0.500 0.500
6 Ru 0.500 0.500 0.902
7 Tb 0.000 0.000 0.199
8 Tb 0.000 0.000 0.600
9 Tb 0.000 0.000 0.400
10 Tb 0.000 0.000 0.801



[7]
Density functional theory data (PBE-GGA) for a geometry-optimized TbEr2Ru structure.

Its energy of formation from the pure elements is -342 meV per atom. The excess energy over the best structure of this formula in the dataset is 0 meV per atom.

Cell lengths 6.291, 7.287, 9.096 Å; angles 90.00, 90.00, 90.00 degrees
Positions (direct):
1 Er 0.832 0.324 0.564
2 Er 0.668 0.824 0.564
3 Er 0.168 0.676 0.064
4 Er 0.332 0.176 0.436
5 Er 0.832 0.324 0.936
6 Er 0.668 0.824 0.936
7 Er 0.168 0.676 0.436
8 Er 0.332 0.176 0.064
9 Tb 0.631 0.540 0.250
10 Tb 0.869 0.040 0.250
11 Tb 0.369 0.460 0.750
12 Tb 0.131 0.960 0.750
13 Ru 0.042 0.385 0.250
14 Ru 0.458 0.885 0.250
15 Ru 0.542 0.115 0.750
16 Ru 0.958 0.615 0.750



[8]
Density functional theory data (PBE-GGA) for a geometry-optimized Tb2ErRu structure.

Its energy of formation from the pure elements is -302 meV per atom. The excess energy over the best structure of this formula in the dataset is 19 meV per atom.

Cell lengths 3.936, 6.231, 9.096 Å; angles 90.00, 90.00, 108.41 degrees
Positions (direct):
1 Er 0.577 0.154 0.750
2 Er 0.423 0.846 0.250
3 Tb 0.858 0.716 0.567
4 Tb 0.142 0.284 0.067
5 Tb 0.142 0.284 0.433
6 Tb 0.858 0.716 0.933
7 Ru 0.242 0.484 0.750
8 Ru 0.758 0.516 0.250